# 1
A relaxed structure of VHg3C. Source: Alexandria via LeMat-Bulk, functional PBE.

a b c (Å): 5.498 5.498 5.498
angles (deg): 90.00 90.00 90.00
Space group Pm-3m (No. 221)
Symmetry-distinct sites (fractional):
V1 0.000 0.000 0.000 [1 per cell]
Hg1 0.000 0.000 0.500 [3 per cell]
C1 0.500 0.500 0.500 [1 per cell]

The crystal system is cubic. The value obtained for the total energy is -9.87 eV/cell. The value obtained for the volume is 33.25 Å³/atom. The calculation puts the formation energy from the elements at 9.37 eV per formula unit. The relative energy among the computed polymorphs comes out at 0.474 eV per atom.



# 2
A relaxed structure of TeAuI2N. Source: Alexandria via LeMat-Bulk, functional PBE.

a b c (Å): 6.160 6.160 3.983
angles (deg): 90.00 90.00 90.00
Space group P4/mmm (No. 123)
Symmetry-distinct sites (fractional):
Te1 0.000 0.000 0.000 [1 per cell]
Au1 0.500 0.500 0.500 [1 per cell]
I1 0.000 0.500 0.000 [2 per cell]
N1 0.000 0.000 0.500 [1 per cell]

The crystal system is tetragonal. The value obtained for the total energy is -13.26 eV/cell. The value obtained for the volume is 30.22 Å³/atom. For the uncorrected formation energy, the calculation gives 88 kJ per mole of atoms. The relative energy among the computed polymorphs comes out at 0.000 eV per atom.



# 3
A relaxed structure of PrEr2Ag4. Source: Alexandria via LeMat-Bulk, functional PBE.

a b c (Å): 7.387 7.387 6.842
angles (deg): 90.00 90.00 90.00
Space group I4/mmm (No. 139)
Symmetry-distinct sites (fractional):
Pr1 0.000 0.000 0.000 [2 per cell]
Er1 0.000 0.500 0.000 [4 per cell]
Ag1 0.250 0.250 0.250 [8 per cell]

The crystal system is tetragonal. The value obtained for the total energy is -51.63 eV/cell. The value obtained for the volume is 26.67 Å³/atom. The calculation puts the formation energy from the elements at -0.51 eV per formula unit.



# 4
A relaxed structure of Sm2CuP3Pt4. Source: Alexandria via LeMat-Bulk, functional PBE.

a b c (Å): 4.265 4.265 9.648
angles (deg): 90.00 90.00 90.00
Space group P-4m2 (No. 115)
Symmetry-distinct sites (fractional):
Sm1 0.000 0.500 0.249 [2 per cell]
Cu1 0.500 0.500 0.000 [1 per cell]
P1 0.000 0.000 0.000 [1 per cell]
P2 0.000 0.500 0.634 [2 per cell]
Pt1 0.000 0.000 0.500 [1 per cell]
Pt2 0.000 0.500 0.875 [2 per cell]
Pt3 0.500 0.500 0.500 [1 per cell]

The crystal system is tetragonal. The value obtained for the total energy is -62.98 eV/cell. The value obtained for the volume is 17.55 Å³/atom. The calculation puts the formation energy from the elements at -9.05 eV per formula unit.



# 5
A relaxed structure of Sm2Tm2In7. Source: Alexandria via LeMat-Bulk, functional PBE.

a b c (Å): 10.199 11.360 6.065
angles (deg): 90.00 90.00 90.00
Space group Cmmm (No. 65)
Symmetry-distinct sites (fractional):
Sm1 0.197 0.000 0.000 [4 per cell]
Tm1 0.000 0.268 0.500 [4 per cell]
In1 0.000 0.000 0.500 [2 per cell]
In2 0.000 0.500 0.238 [4 per cell]
In3 0.250 0.250 0.238 [8 per cell]

The crystal system is orthorhombic. The value obtained for the total energy is -74.47 eV/cell. The value obtained for the volume is 31.94 Å³/atom. The calculation puts the formation energy from the elements at 0.32 eV per formula unit.



# 6
A relaxed structure of Co2RhBr. Source: Alexandria via LeMat-Bulk, functional PBE.

a b c (Å): 3.318 2.971 6.717
angles (deg): 90.00 90.10 90.00
Space group P2/m (No. 10)
Symmetry-distinct sites (fractional):
Co1 0.001 0.000 0.190 [2 per cell]
Rh1 0.500 0.500 0.000 [1 per cell]
Br1 0.000 0.500 0.500 [1 per cell]

The crystal system is monoclinic. The value obtained for the total energy is -21.54 eV/cell. The value obtained for the volume is 16.56 Å³/atom. For the uncorrected formation energy, the calculation gives 41 kJ per mole of atoms. The relative energy among the computed polymorphs comes out at 0.000 eV per atom.



Among the records above, which one has the highest volume? VHg3C